An optimized crystal structure of Zn2BiPb2. Source: Alexandria, functional PBE.

Cell and atoms, written as POSCAR:
```
Zn2BiPb2
1.0
3.618 0.000 0.000
0.000 3.618 0.000
1.809 1.809 10.158
Pb Zn Bi
2 2 1
Cartesian
1.809 1.809 2.480 Pb
3.618 3.618 7.678 Pb
3.618 1.809 5.079 Zn
1.809 3.618 5.079 Zn
0.000 0.000 0.000 Bi
```

Computed properties:
Total magnetic moment ... 0.0 μB/f.u.
Energy of formation ... 0.129 eV/atom
Space-group type ... I4/mmm
Energy relative to the lowest polymorph listed for this composition ... 39 meV/atom
E_tot ... -13.20 eV per cell
Theoretical density ... 9.4 g cm⁻³

***

An optimized crystal structure of Zn2Bi2Pb. Source: Alexandria, functional PBE.

Cell and atoms, written as POSCAR:
```
Zn2Bi2Pb
1.0
-2.223 -2.775 -2.121
3.263 -2.546 -0.088
-1.875 -5.967 5.732
Pb Zn Bi
1 2 2
Cartesian
0.000 0.000 0.000 Pb
-1.788 -5.701 1.254 Zn
0.954 -5.587 2.270 Zn
-0.059 -3.460 0.549 Bi
-0.775 -7.828 2.974 Bi
```

Computed properties:
Total magnetic moment ... 0.0 μB/f.u.
Energy of formation ... 0.103 eV/atom
Space-group type ... I4/mmm
Energy relative to the lowest polymorph listed for this composition ... 0 meV/atom
E_tot ... -13.50 eV per cell
Theoretical density ... 9.2 g cm⁻³

***

An optimized crystal structure of Zn3Bi3Pb. Source: Alexandria, functional PBE.

Cell and atoms, written as POSCAR:
```
Zn3Bi3Pb
1.0
-5.185 5.364 -2.025
-0.166 -2.870 -7.176
-5.731 -4.770 2.040
Pb Zn Bi
2 6 6
Cartesian
-5.541 -1.138 -3.581 Pb
0.000 0.000 0.000 Pb
-2.907 -3.102 -0.774 Zn
-2.990 -4.537 -4.362 Zn
-6.891 -0.896 0.517 Zn
-3.972 2.588 -5.107 Zn
-4.025 1.489 -0.503 Zn
-1.379 -0.094 -4.094 Zn
-4.162 -1.044 0.514 Bi
-1.516 -2.627 -3.078 Bi
-2.717 0.530 -6.395 Bi
-6.754 1.638 -0.499 Bi
-4.381 -5.012 -2.058 Bi
-2.634 1.964 -2.807 Bi
```

Computed properties:
Total magnetic moment ... 0.0 μB/f.u.
Energy of formation ... 0.369 eV/atom
Space-group type ... Pm-3n
E_tot ... -33.18 eV per cell
Theoretical density ... 7.4 g cm⁻³

***

An optimized crystal structure of ZnBi2Pb2. Source: Alexandria, functional PBE.

Cell and atoms, written as POSCAR:
```
ZnBi2Pb2
1.0
8.776 0.000 0.000
0.000 8.776 0.000
0.000 0.000 4.156
Pb Zn Bi
4 2 4
Cartesian
1.302 5.690 2.078 Pb
5.690 7.475 2.078 Pb
7.475 3.087 2.078 Pb
3.087 1.302 2.078 Pb
0.000 0.000 0.000 Zn
4.388 4.388 0.000 Zn
3.083 7.471 0.000 Bi
7.471 5.693 0.000 Bi
5.693 1.305 0.000 Bi
1.305 3.083 0.000 Bi
```

Computed properties:
Total magnetic moment ... 0.0 μB/f.u.
Energy of formation ... 0.211 eV/atom
Space-group type ... P4/mbm
Energy relative to the lowest polymorph listed for this composition ... 0 meV/atom
E_tot ... -30.80 eV per cell
Theoretical density ... 9.3 g cm⁻³

***

An optimized crystal structure of Zn2BiPb2. Source: Alexandria, functional PBE.

Cell and atoms, written as POSCAR:
```
Zn2BiPb2
1.0
7.612 0.000 0.000
0.000 7.612 0.000
0.000 0.000 4.507
Pb Zn Bi
4 4 2
Cartesian
1.353 5.159 2.254 Pb
5.159 6.259 2.254 Pb
6.259 2.453 2.254 Pb
2.453 1.353 2.254 Pb
2.895 6.701 0.000 Zn
6.701 4.717 0.000 Zn
4.717 0.911 0.000 Zn
0.911 2.895 0.000 Zn
0.000 0.000 0.000 Bi
3.806 3.806 0.000 Bi
```

Computed properties:
Total magnetic moment ... 0.0 μB/f.u.
Energy of formation ... 0.090 eV/atom
Space-group type ... P4/mbm
Energy relative to the lowest polymorph listed for this composition ... 0 meV/atom
E_tot ... -26.79 eV per cell
Theoretical density ... 9.6 g cm⁻³

***

An optimized crystal structure of Zr10Bi3Pb3. Source: Alexandria, functional PBE.

Cell and atoms, written as POSCAR:
```
Zr10Bi3Pb3
1.0
5.861 0.000 0.000
0.000 7.533 -4.349
0.000 0.000 8.699
Zr Bi Pb
10 3 3
Cartesian
1.491 5.022 0.000 Zr
1.491 2.511 4.349 Zr
4.370 2.511 4.349 Zr
4.370 5.022 0.000 Zr
2.930 0.000 6.452 Zr
2.930 5.588 -3.226 Zr
2.930 1.945 1.123 Zr
0.000 0.000 1.912 Zr
0.000 1.656 -0.956 Zr
0.000 5.877 3.393 Zr
0.000 0.000 5.221 Bi
0.000 4.521 -2.610 Bi
0.000 3.012 1.739 Bi
2.930 0.000 3.329 Pb
2.930 2.883 -1.665 Pb
2.930 4.650 2.685 Pb
```

Computed properties:
Total magnetic moment ... 0.0 μB/f.u.
Energy of formation ... -0.286 eV/atom
Space-group type ... P-62m
E_tot ... -112.83 eV per cell
Theoretical density ... 9.3 g cm⁻³

***

An optimized crystal structure of Zr12BiPb3. Source: Alexandria, functional PBE.

Cell and atoms, written as POSCAR:
```
Zr12BiPb3
1.0
5.693 0.000 0.000
0.000 5.695 0.000
0.000 0.000 11.399
Zr Bi Pb
12 1 3
Cartesian
2.847 0.000 4.245 Zr
2.847 0.000 9.992 Zr
4.270 2.848 0.000 Zr
4.256 2.848 5.699 Zr
0.000 4.270 2.844 Zr
0.000 4.270 8.555 Zr
2.847 0.000 1.407 Zr
2.847 0.000 7.153 Zr
1.424 2.848 0.000 Zr
1.438 2.848 5.699 Zr
0.000 1.425 2.844 Zr
0.000 1.425 8.555 Zr
0.000 0.000 5.699 Bi
2.847 2.848 2.855 Pb
2.847 2.848 8.544 Pb
0.000 0.000 0.000 Pb
```

Computed properties:
Total magnetic moment ... 0.0 μB/f.u.
Energy of formation ... -0.179 eV/atom
Space-group type ... Pmmm
E_tot ... -120.45 eV per cell
Theoretical density ... 8.6 g cm⁻³

***

An optimized crystal structure of Zr4Bi2Pb. Source: Alexandria, functional PBE.

Cell and atoms, written as POSCAR:
```
Zr4Bi2Pb
1.0
-4.287 -6.085 -1.780
1.656 -0.141 7.471
-6.490 0.176 4.052
Zr Bi Pb
8 4 2
Cartesian
-5.592 -4.506 0.420 Zr
-4.763 -4.570 4.156 Zr
-3.492 -0.508 3.615 Zr
-6.804 -2.370 5.619 Zr
-1.037 -1.609 6.981 Zr
-8.950 -5.413 4.735 Zr
-1.565 -3.709 4.440 Zr
-4.282 -1.515 9.007 Zr
-0.519 -0.809 4.019 Bi
-7.340 -3.688 2.861 Bi
-6.566 -5.321 6.579 Bi
-3.817 -2.283 6.027 Bi
-3.352 -3.034 1.991 Pb
0.000 0.000 0.000 Pb
```

Computed properties:
Total magnetic moment ... 0.0 μB/f.u.
Energy of formation ... -0.280 eV/atom
Space-group type ... I-42d
Energy relative to the lowest polymorph listed for this composition ... 0 meV/atom
E_tot ... -95.24 eV per cell
Theoretical density ... 9.5 g cm⁻³